CrPWO2, relaxed, DFT PBE with a Hubbard U; crystal system = tetragonal; symmetry = P4/mmm, No. 123; energy above the lowest structure with this stoichiometry = 0.614 eV per atom
1.0
3.6746 0.0000 0.0000
0.0000 3.6746 0.0000
0.0000 0.0000 5.4296
Cr P W O
1 1 1 2
direct
0.0000 0.0000 0.0000 Cr
0.0000 0.0000 0.5000 P
0.5000 0.5000 0.5000 W
0.0000 0.5000 0.0000 O
0.5000 0.0000 0.0000 O

CrP6W3O24, relaxed, DFT PBE with a Hubbard U; crystal system = trigonal; symmetry = R3, No. 146; DFT total energy = -7.4632 eV per atom
1.0
4.3732 2.5249 7.3141
-4.3732 2.5249 7.3141
0.0000 -5.0498 7.3141
Cr P W O
1 6 3 24
direct
0.0000 0.0000 0.0000 Cr
0.1051 0.6851 0.3871 P
0.1778 0.6135 0.8923 P
0.3871 0.1051 0.6851 P
0.6135 0.8923 0.1778 P
0.6851 0.3871 0.1051 P
0.8923 0.1778 0.6135 P
0.2859 0.2859 0.2859 W
0.5002 0.5002 0.5002 W
0.7845 0.7845 0.7845 W
0.0133 0.6342 0.8559 O
0.0695 0.1960 0.4372 O
0.0980 0.8514 0.2120 O
0.1320 0.5058 0.3706 O
0.1554 0.7864 0.9052 O
0.1960 0.4372 0.0695 O
0.2120 0.0980 0.8514 O
0.2678 0.6456 0.4386 O
0.3606 0.5664 0.7296 O
0.3706 0.1320 0.5058 O
0.4372 0.0695 0.1960 O
0.4386 0.2678 0.6456 O
0.5058 0.3706 0.1320 O
0.5575 0.9240 0.7136 O
0.5664 0.7296 0.3606 O
0.6342 0.8559 0.0133 O
0.6456 0.4386 0.2678 O
0.7136 0.5575 0.9240 O
0.7296 0.3606 0.5664 O
0.7864 0.9052 0.1554 O
0.8514 0.2120 0.0980 O
0.8559 0.0133 0.6342 O
0.9052 0.1554 0.7864 O
0.9240 0.7136 0.5575 O

CrPWO2, relaxed, DFT PBE with a Hubbard U; crystal system = tetragonal; symmetry = P4/mmm, No. 123; energy above the lowest structure with this stoichiometry = 0.000 eV per atom
1.0
3.8455 0.0000 0.0000
0.0000 3.8455 0.0000
0.0000 0.0000 5.3104
Cr P W O
1 1 1 2
direct
0.0000 0.0000 0.0000 Cr
0.5000 0.5000 0.0000 P
0.5000 0.5000 0.5000 W
0.0000 0.5000 0.5000 O
0.5000 0.0000 0.5000 O

YCrP2O8, relaxed, DFT PBE with a Hubbard U; crystal system = trigonal; symmetry = P-3m1, No. 164; DFT total energy = -7.8515 eV per atom
1.0
5.1113 0.0000 0.0000
-2.5557 4.4265 0.0000
0.0000 0.0000 6.5361
Y Cr P O
1 1 2 8
direct
0.0000 0.0000 0.0000 Y
0.0000 0.0000 0.5000 Cr
0.3333 0.6667 0.2225 P
0.6667 0.3333 0.7775 P
0.1670 0.3340 0.2960 O
0.1670 0.8330 0.2960 O
0.3333 0.6667 0.9889 O
0.3340 0.1670 0.7040 O
0.6660 0.8330 0.2960 O
0.6667 0.3333 0.0111 O
0.8330 0.1670 0.7040 O
0.8330 0.6660 0.7040 O

ZnCrP2O, relaxed, DFT PBE with a Hubbard U; crystal system = tetragonal; symmetry = P4/mmm, No. 123; energy above the lowest structure with this stoichiometry = 0.687 eV per atom
1.0
4.8324 0.0000 0.0000
0.0000 4.8324 0.0000
0.0000 0.0000 3.6039
Zn Cr P O
1 1 2 1
direct
0.0000 0.0000 0.0000 Zn
0.5000 0.5000 0.5000 Cr
0.0000 0.5000 0.0000 P
0.5000 0.0000 0.0000 P
0.0000 0.0000 0.5000 O

ZnCrP2O, relaxed, DFT PBE with a Hubbard U; crystal system = tetragonal; symmetry = P4/mmm, No. 123; energy above the lowest structure with this stoichiometry = 0.000 eV per atom
1.0
4.8315 0.0000 0.0000
0.0000 4.8315 0.0000
0.0000 0.0000 3.5044
Zn Cr P O
1 1 2 1
direct
0.0000 0.0000 0.0000 Zn
0.5000 0.5000 0.5000 Cr
0.0000 0.5000 0.5000 P
0.5000 0.0000 0.5000 P
0.5000 0.5000 0.0000 O